1.
# Cd2HPt | the Alexandria database | GGA-PBE | optimized geometry
data_Cd2HPt
_chemical_formula_sum 'Cd8 H4 Pt4'
_cell_length_a 6.496
_cell_length_b 6.496
_cell_length_c 5.992
_cell_angle_alpha 90.00
_cell_angle_beta 90.00
_cell_angle_gamma 90.00
_space_group_name_H-M_alt 'I -4 2 d'
_space_group_IT_number 122
_space_group_name_Hall 'I -4 2bw'
loop_
_atom_site_label
_atom_site_fract_x
_atom_site_fract_y
_atom_site_fract_z
Cd1 0.175 0.250 0.125
H1 0.000 0.000 0.000
Pt1 0.000 0.000 0.500
# Total moment = 0.0 μB per cell
# Distance to the lowest polymorph of the same formula = 0.313 eV per atom
# D(E_F) = 0.29 states/eV/atom


2.
# RbCdH6Pt | the Alexandria database | GGA-PBE | optimized geometry
data_RbCdH6Pt
_chemical_formula_sum 'Rb1 Cd1 H6 Pt1'
_cell_length_a 5.0289
_cell_length_b 5.0289
_cell_length_c 5.8198
_cell_angle_alpha 90.00
_cell_angle_beta 90.00
_cell_angle_gamma 120.00
_space_group_name_H-M_alt 'P 3 1 2'
_space_group_IT_number 149
_space_group_name_Hall 'P 3 2'
loop_
_atom_site_label
_atom_site_fract_x
_atom_site_fract_y
_atom_site_fract_z
Rb1 0.0000 0.0000 0.0000
Cd1 0.3333 0.6667 0.5000
H1 0.4260 0.0561 0.6869
Pt1 0.6667 0.3333 0.5000
# Total moment = 0.0 μB per cell
# E = -3.215 eV/atom
# D(E_F) = 0.15 states/eV/atom


3.
# CdHPt2Rh | the Alexandria database | GGA-PBE | optimized geometry
data_CdHPt2Rh
_chemical_formula_sum 'Cd1 H1 Pt2 Rh1'
_cell_length_a 4.059
_cell_length_b 4.059
_cell_length_c 4.082
_cell_angle_alpha 90.00
_cell_angle_beta 90.00
_cell_angle_gamma 90.00
_space_group_name_H-M_alt 'P 4/m m m'
_space_group_IT_number 123
_space_group_name_Hall '-P 4 2'
loop_
_atom_site_label
_atom_site_fract_x
_atom_site_fract_y
_atom_site_fract_z
Cd1 0.000 0.000 0.000
H1 0.500 0.500 0.500
Pt1 0.000 0.500 0.500
Rh1 0.500 0.500 0.000
# Total moment = 0.0 μB per cell
# Distance to the lowest polymorph of the same formula = 0.000 eV per atom
# D(E_F) = 1.05 states/eV/atom


4.
# Cd2H6PtRh | the Alexandria database | GGA-PBE | optimized geometry
data_Cd2H6PtRh
_chemical_formula_sum 'Cd2 H6 Pt1 Rh1'
_cell_length_a 4.740
_cell_length_b 4.916
_cell_length_c 4.972
_cell_angle_alpha 68.42
_cell_angle_beta 68.69
_cell_angle_gamma 67.80
_space_group_name_H-M_alt 'P -1'
_space_group_IT_number 2
_space_group_name_Hall '-P 1'
loop_
_atom_site_label
_atom_site_fract_x
_atom_site_fract_y
_atom_site_fract_z
Cd1 0.208 0.272 0.273
H1 0.257 0.252 0.766
H2 0.262 0.781 0.248
H3 0.314 0.744 0.748
Pt1 0.000 0.000 0.000
Rh1 0.500 0.500 0.500
# Total moment = 0.0 μB per cell
# E = -3.474 eV/atom
# D(E_F) = 0.16 states/eV/atom